(1)
{
  "formula": "ThZnCuAg",
  "functional": "PBE-GGA",
  "state": "relaxed",
  "delta_e_f_mev_per_atom": -109,
  "lattice_angstrom": [[4.827, 0.000, 0.000], [2.414, 4.180, 0.000], [2.414, 1.393, 3.941]],
  "species": ["Zn", "Cu", "Ag", "Th"],
  "frac_coords": [[0.750, 0.750, 0.750], [0.250, 0.250, 0.250], [0.500, 0.500, 0.500], [0.000, 0.000, 0.000]]
}

(2)
{
  "formula": "Th3Zn6CuAg2",
  "functional": "PBE-GGA",
  "state": "relaxed",
  "delta_e_f_mev_per_atom": -32,
  "lattice_angstrom": [[5.698, 0.000, 0.000], [-2.849, 4.935, 0.000], [0.000, 0.000, 8.967]],
  "species": ["Th", "Th", "Th", "Zn", "Zn", "Zn", "Zn", "Zn", "Zn", "Cu", "Ag", "Ag"],
  "frac_coords": [[0.333, 0.667, 0.594], [0.667, 0.333, 0.406], [0.000, 0.000, 0.000], [0.652, 0.826, 0.278], [0.174, 0.348, 0.278], [0.174, 0.826, 0.278], [0.826, 0.652, 0.722], [0.348, 0.174, 0.722], [0.826, 0.174, 0.722], [0.000, 0.000, 0.500], [0.667, 0.333, 0.996], [0.333, 0.667, 0.004]]
}

(3)
{
  "formula": "ThZn6CuAg",
  "functional": "PBE-GGA",
  "state": "relaxed",
  "delta_e_f_mev_per_atom": 204,
  "lattice_angstrom": [[10.052, 0.000, 0.000], [0.000, 5.583, 0.000], [-5.026, -2.791, 6.357]],
  "species": ["Th", "Th", "Zn", "Zn", "Zn", "Zn", "Zn", "Zn", "Zn", "Zn", "Zn", "Zn", "Zn", "Zn", "Cu", "Cu", "Ag", "Ag"],
  "frac_coords": [[0.944, 0.694, 0.889], [0.056, 0.306, 0.111], [0.305, 0.555, 0.609], [0.795, 0.045, 0.590], [0.836, 0.116, 0.208], [0.372, 0.591, 0.208], [0.372, 0.116, 0.208], [0.836, 0.591, 0.208], [0.695, 0.445, 0.391], [0.205, 0.955, 0.410], [0.164, 0.884, 0.792], [0.628, 0.409, 0.792], [0.628, 0.884, 0.792], [0.164, 0.409, 0.792], [0.500, 0.000, 0.500], [0.000, 0.000, 0.500], [0.500, 0.500, 0.000], [0.500, 0.000, 0.000]]
}

(4)
{
  "formula": "TiCu2Ag",
  "functional": "PBE-GGA",
  "state": "relaxed",
  "delta_e_f_mev_per_atom": 27,
  "lattice_angstrom": [[-1.154, -2.494, -1.452], [-1.013, -1.114, 2.719], [-5.324, 2.922, -0.786]],
  "species": ["Cu", "Cu", "Ag", "Ti"],
  "frac_coords": [[0.000, 0.000, 0.738], [0.000, 0.000, 0.262], [0.500, 0.500, 0.000], [0.500, 0.500, 0.500]]
}

(5)
{
  "formula": "Ti2Cu2Ag",
  "functional": "PBE-GGA",
  "state": "relaxed",
  "delta_e_f_mev_per_atom": 10,
  "lattice_angstrom": [[7.094, 0.000, 0.000], [0.000, 7.094, 0.000], [0.000, 0.000, 3.047]],
  "species": ["Cu", "Cu", "Cu", "Cu", "Ag", "Ag", "Ti", "Ti", "Ti", "Ti"],
  "frac_coords": [[0.374, 0.874, 0.000], [0.874, 0.626, 0.000], [0.626, 0.126, 0.000], [0.126, 0.374, 0.000], [0.000, 0.000, 0.000], [0.500, 0.500, 0.000], [0.168, 0.668, 0.500], [0.668, 0.832, 0.500], [0.832, 0.332, 0.500], [0.332, 0.168, 0.500]]
}

(6)
{
  "formula": "TiCu2Ag",
  "functional": "PBE-GGA",
  "state": "relaxed",
  "delta_e_f_mev_per_atom": 461,
  "lattice_angstrom": [[6.991, 0.000, 0.000], [0.000, 6.991, 0.000], [3.496, 3.496, 2.650]],
  "species": ["Cu", "Cu", "Cu", "Cu", "Ag", "Ag", "Ti", "Ti"],
  "frac_coords": [[0.621, 0.125, 0.250], [0.129, 0.625, 0.250], [0.375, 0.379, 0.750], [0.875, 0.871, 0.750], [0.000, 0.000, 0.000], [0.750, 0.250, 0.500], [0.500, 0.500, 0.000], [0.250, 0.750, 0.500]]
}

(7)
{
  "formula": "TiCuAg2",
  "functional": "PBE-GGA",
  "state": "relaxed",
  "delta_e_f_mev_per_atom": 109,
  "lattice_angstrom": [[-1.424, -2.394, -0.328], [1.960, -1.367, 1.469], [-4.131, 1.509, 6.916]],
  "species": ["Cu", "Ag", "Ag", "Ti"],
  "frac_coords": [[0.500, 0.500, 0.000], [0.000, 0.000, 0.765], [0.000, 0.000, 0.235], [0.500, 0.500, 0.500]]
}

(8)
{
  "formula": "TiCu4Ag",
  "functional": "PBE-GGA",
  "state": "relaxed",
  "delta_e_f_mev_per_atom": -26,
  "lattice_angstrom": [[4.874, 0.000, 0.000], [2.437, 4.221, 0.000], [2.437, 1.407, 3.979]],
  "species": ["Cu", "Cu", "Cu", "Cu", "Ag", "Ti"],
  "frac_coords": [[0.625, 0.625, 0.125], [0.625, 0.125, 0.625], [0.625, 0.625, 0.625], [0.125, 0.625, 0.625], [0.000, 0.000, 0.000], [0.250, 0.250, 0.250]]
}

(9)
{
  "formula": "Ti2Cu2Ag",
  "functional": "PBE-GGA",
  "state": "relaxed",
  "delta_e_f_mev_per_atom": 175,
  "lattice_angstrom": [[-2.037, -2.537, -6.942], [5.128, -5.671, 0.568], [-1.856, -1.566, 1.117]],
  "species": ["Cu", "Cu", "Cu", "Cu", "Ag", "Ag", "Ti", "Ti", "Ti", "Ti"],
  "frac_coords": [[0.133, 0.633, 0.500], [0.633, 0.867, 0.500], [0.867, 0.367, 0.500], [0.367, 0.133, 0.500], [0.000, 0.000, 0.000], [0.500, 0.500, 0.000], [0.340, 0.840, 0.000], [0.840, 0.660, 0.000], [0.660, 0.160, 0.000], [0.160, 0.340, 0.000]]
}

(10)
{
  "formula": "TiCuAg2",
  "functional": "PBE-GGA",
  "state": "relaxed",
  "delta_e_f_mev_per_atom": 289,
  "lattice_angstrom": [[2.804, 0.000, 0.000], [1.402, 2.429, 0.000], [1.402, 0.810, 9.924]],
  "species": ["Cu", "Ag", "Ag", "Ti"],
  "frac_coords": [[0.500, 0.500, 0.500], [0.091, 0.091, 0.726], [0.909, 0.909, 0.274], [0.000, 0.000, 0.000]]
}

(11)
{
  "formula": "TiCu2Ag",
  "functional": "PBE-GGA",
  "state": "relaxed",
  "delta_e_f_mev_per_atom": 88,
  "lattice_angstrom": [[-0.434, 0.184, 2.743], [-2.536, -0.479, 1.043], [1.008, -8.729, 2.156]],
  "species": ["Cu", "Cu", "Ag", "Ti"],
  "frac_coords": [[0.748, 0.748, 0.756], [0.252, 0.252, 0.244], [0.500, 0.500, 0.500], [0.000, 0.000, 0.000]]
}

(12)
{
  "formula": "TiCu2Ag",
  "functional": "PBE-GGA",
  "state": "relaxed",
  "delta_e_f_mev_per_atom": 23,
  "lattice_angstrom": [[0.000, 3.071, 3.071], [3.071, 0.000, 3.071], [3.071, 3.071, 0.000]],
  "species": ["Cu", "Cu", "Ag", "Ti"],
  "frac_coords": [[0.250, 0.250, 0.250], [0.750, 0.750, 0.750], [0.500, 0.500, 0.500], [0.000, 0.000, 0.000]]
}